1.
DFT (GGA-PBE) results for crystalline K2SbPd at its relaxed geometry.

```
K2SbPd
1.0
12.5957 0.0000 0.0000
0.0000 12.5957 0.0000
0.0000 0.0000 5.0198
K Sb Pd
8 4 4
Direct
0.0319 0.2500 0.1250
0.2500 0.5319 0.3750
0.2500 0.9681 0.8750
0.4681 0.2500 0.6250
0.5319 0.7500 0.6250
0.7500 0.0319 0.8750
0.7500 0.4681 0.3750
0.9681 0.7500 0.1250
0.0000 0.0000 0.5000
0.0000 0.5000 0.7500
0.5000 0.0000 0.2500
0.5000 0.5000 0.0000
0.0000 0.0000 0.0000
0.0000 0.5000 0.2500
0.5000 0.0000 0.7500
0.5000 0.5000 0.5000
```

Symmetry ... No. 122
E ... -50.64 eV per cell
Volume ... 796.4 Å³/cell
Fermi-level density of states ... 0.674 states/eV/atom

---

2.
DFT (GGA-PBE) results for crystalline K2Sb2Pd at its relaxed geometry.

```
K2Sb2Pd
1.0
7.1129 0.0000 0.0000
0.0000 7.1129 0.0000
0.0000 0.0000 5.8475
K Sb Pd
4 4 2
Direct
0.1692 0.3308 0.0000
0.3308 0.8308 0.0000
0.6692 0.1692 0.0000
0.8308 0.6692 0.0000
0.1467 0.6467 0.5000
0.3533 0.1467 0.5000
0.6467 0.8533 0.5000
0.8533 0.3533 0.5000
0.0000 0.0000 0.5000
0.5000 0.5000 0.5000
```

Symmetry ... No. 127
E ... -35.36 eV per cell
Volume ... 295.8 Å³/cell
Fermi-level density of states ... 0.411 states/eV/atom

---

3.
DFT (GGA-PBE) results for crystalline KSbPd3 at its relaxed geometry.

```
KSbPd3
1.0
5.0788 0.0000 0.0000
0.0000 5.0788 0.0000
0.0000 0.0000 5.0788
K Sb Pd
1 1 3
Direct
0.0000 0.0000 0.0000
0.5000 0.5000 0.5000
0.0000 0.5000 0.5000
0.5000 0.0000 0.5000
0.5000 0.5000 0.0000
```

Symmetry ... No. 221
ΔE to the lowest computed polymorph ... 0.084 eV/atom
Volume ... 131.0 Å³/cell
Fermi-level density of states ... 0.741 states/eV/atom